Density functional theory data (GGA-PBE) for a relaxed Co3Au2 crystal.

Calculated values
Calculated formation energy: 0.29 eV per atom
Density of states at the Fermi level: 4.6 states/eV/cell

Unit cell a=11.1011 b=11.1011 c=11.1011 alpha=14.09 beta=14.09 gamma=14.09
With the nearest neighbours (Å) after each atom.
Element x y z (fractional)
Co (0.8056, 0.8056, 0.8056)  3 Co 2.41
Co (0.1944, 0.1944, 0.1944)  3 Co 2.41
Co (0.0000, 0.0000, 0.0000)  6 Co 2.72, 6 Au 2.75
Au (0.5981, 0.5981, 0.5981)  6 Au 2.72, 6 Co 2.75-2.80
Au (0.4019, 0.4019, 0.4019)  6 Au 2.72, 6 Co 2.75-2.80